# 1
## CsCOF2 (GGA-PBE)

Data for crystalline CsCOF2 at its relaxed geometry.

The mass density comes out at 2.9 Mg/m³. For the energy above the most stable polymorph in this dataset, the calculation gives 1641 meV/atom. Its formation energy from raw total energies is 1.258 eV per atom.

It has space group P4/mmm (No. 123), with a = 5.1151 Å, b = 5.1151 Å, c = 4.3361 Å, α = 90.00°, β = 90.00° and γ = 90.00°. The distinct sites, in fractional coordinates, are Cs at (0.0000, 0.0000, 0.0000), C at (0.5000, 0.5000, 0.5000), O at (0.0000, 0.0000, 0.5000) and F at (0.0000, 0.5000, 0.0000).



# 2
## CsCO2F (GGA-PBE)

Data for crystalline CsCO2F at its relaxed geometry.

The mass density comes out at 4.4 Mg/m³. Its formation energy from raw total energies is 0.235 eV per atom.

It has space group P4/mmm (No. 123), with a = 3.5684 Å, b = 3.5684 Å, c = 5.7819 Å, α = 90.00°, β = 90.00° and γ = 90.00°. The distinct sites, in fractional coordinates, are Cs at (0.0000, 0.0000, 0.0000), C at (0.5000, 0.5000, 0.5000), O at (0.0000, 0.5000, 0.5000) and F at (0.5000, 0.5000, 0.0000).



# 3
## CsCO2F2 (GGA-PBE)

Data for crystalline CsCO2F2 at its relaxed geometry.

The mass density comes out at 3.1 Mg/m³. Its formation energy from raw total energies is -1.604 eV per atom.

It has space group Pnma (No. 62), with a = 9.7877 Å, b = 5.9543 Å, c = 7.9723 Å, α = 90.00°, β = 90.00° and γ = 90.00°. The distinct sites, in fractional coordinates, are Cs at (0.1804, 0.2500, 0.1613), C at (0.0670, 0.2500, 0.6920), O at (0.0760, 0.0725, 0.7880), F at (0.0542, 0.7500, 0.4105) and F at (0.1722, 0.2500, 0.5610).



# 4
## CsCOF3 (GGA-PBE)

Data for crystalline CsCOF3 at its relaxed geometry.

The mass density comes out at 3.2 Mg/m³. Its formation energy from raw total energies is -2.006 eV per atom.

It has space group P2_1/c (No. 14), with a = 6.0646 Å, b = 7.8768 Å, c = 9.5992 Å, α = 90.00°, β = 90.87° and γ = 90.00°. The distinct sites, in fractional coordinates, are Cs at (0.2319, 0.1585, 0.1788), C at (0.2346, 0.7053, 0.0678), O at (0.0676, 0.7085, 0.5841), F at (0.2586, 0.6228, 0.9366), F at (0.2715, 0.5685, 0.1654) and F at (0.4454, 0.7041, 0.5803).



# 5
## CsCO2F (GGA-PBE)

Data for crystalline CsCO2F at its relaxed geometry.

The mass density comes out at 3.3 Mg/m³. Its formation energy from raw total energies is 1.781 eV per atom.

It has space group P4/mmm (No. 123), with a = 4.2867 Å, b = 4.2867 Å, c = 5.4158 Å, α = 90.00°, β = 90.00° and γ = 90.00°. The distinct sites, in fractional coordinates, are Cs at (0.0000, 0.0000, 0.0000), C at (0.5000, 0.5000, 0.5000), O at (0.0000, 0.5000, 0.0000) and F at (0.0000, 0.0000, 0.5000).



# 6
## CsCO2F (GGA-PBE)

Data for crystalline CsCO2F at its relaxed geometry.

The mass density comes out at 3.4 Mg/m³. Its formation energy from raw total energies is -0.892 eV per atom.

It has space group C2/m (No. 12), with a = 16.6240 Å, b = 2.8931 Å, c = 7.9584 Å, α = 90.00°, β = 91.73° and γ = 90.00°. The distinct sites, in fractional coordinates, are Cs at (0.1499, 0.0000, 0.3472), C at (0.0764, 0.5000, 0.8515), O at (0.0413, 0.5000, 0.7203), O at (0.0969, 0.0000, 0.9460) and F at (0.2121, 0.0000, 0.6676).



# 7
## CsCOF2 (GGA-PBE)

Data for crystalline CsCOF2 at its relaxed geometry.

The mass density comes out at 4.6 Mg/m³. For the energy above the most stable polymorph in this dataset, the calculation gives 0 meV/atom. Its formation energy from raw total energies is -0.382 eV per atom.

It has space group P4/mmm (No. 123), with a = 4.8035 Å, b = 4.8035 Å, c = 3.1158 Å, α = 90.00°, β = 90.00° and γ = 90.00°. The distinct sites, in fractional coordinates, are Cs at (0.0000, 0.0000, 0.0000), C at (0.5000, 0.5000, 0.5000), O at (0.5000, 0.5000, 0.0000) and F at (0.0000, 0.5000, 0.5000).



# 8
## CsPt2CF (GGA-PBE)

Data for crystalline CsPt2CF at its relaxed geometry.

The mass density comes out at 6.6 Mg/m³. Its formation energy from raw total energies is 2.685 eV per atom.

It has space group P4/mmm (No. 123), with a = 5.2996 Å, b = 5.2996 Å, c = 4.9862 Å, α = 90.00°, β = 90.00° and γ = 90.00°. The distinct sites, in fractional coordinates, are Cs at (0.0000, 0.0000, 0.0000), Pt at (0.0000, 0.5000, 0.0000), C at (0.0000, 0.0000, 0.5000) and F at (0.5000, 0.5000, 0.5000).



# 9
## CsRb2CF6 (GGA-PBE)

Data for crystalline CsRb2CF6 at its relaxed geometry.

The mass density comes out at 3.8 Mg/m³. Its formation energy from raw total energies is -1.687 eV per atom.

It has space group Fm-3m (No. 225), with a = 9.0900 Å, b = 9.0900 Å, c = 9.0900 Å, α = 90.00°, β = 90.00° and γ = 90.00°. The distinct sites, in fractional coordinates, are Cs at (0.0000, 0.0000, 0.0000), Rb at (0.2500, 0.2500, 0.2500), C at (0.0000, 0.0000, 0.5000) and F at (0.0000, 0.0000, 0.3046).



# 10
## Cs2RbCF6 (GGA-PBE)

Data for crystalline Cs2RbCF6 at its relaxed geometry.

The mass density comes out at 4.3 Mg/m³. Its formation energy from raw total energies is -1.732 eV per atom.

It has space group Fm-3m (No. 225), with a = 9.0453 Å, b = 9.0453 Å, c = 9.0453 Å, α = 90.00°, β = 90.00° and γ = 90.00°. The distinct sites, in fractional coordinates, are Cs at (0.2500, 0.2500, 0.2500), Rb at (0.0000, 0.0000, 0.0000), C at (0.0000, 0.0000, 0.5000) and F at (0.0000, 0.0000, 0.3023).



# 11
## CsZrCF2 (GGA-PBE)

Data for crystalline CsZrCF2 at its relaxed geometry.

The mass density comes out at 3.6 Mg/m³. Its formation energy from raw total energies is -0.255 eV per atom.

It has space group P4/mmm (No. 123), with a = 4.1963 Å, b = 4.1963 Å, c = 7.1138 Å, α = 90.00°, β = 90.00° and γ = 90.00°. The distinct sites, in fractional coordinates, are Cs at (0.0000, 0.0000, 0.0000), Zr at (0.0000, 0.0000, 0.5000), C at (0.5000, 0.5000, 0.0000) and F at (0.0000, 0.5000, 0.5000).



# 12
## CsFeC2 (GGA-PBE)

Data for crystalline CsFeC2 at its relaxed geometry.

The mass density comes out at 5.1 Mg/m³. For the energy above the most stable polymorph in this dataset, the calculation gives 0 meV/atom. For the calculated formation energy, the calculation gives 0.6207 eV/atom.

It has space group Fd-3m (No. 227, origin choice 2), with a = 8.2279 Å, b = 8.2279 Å, c = 8.2279 Å, α = 90.00°, β = 90.00° and γ = 90.00°. The distinct sites, in fractional coordinates, are Cs at (0.1250, 0.1250, 0.1250), Fe at (0.1250, 0.1250, 0.6250) and C at (0.0000, 0.0000, 0.5000).



> Among the records above, which one has the lowest mass density?

number 1



> Look up the mass density of the tenth one.

4.3 Mg/m³



> What is the mass density in the fifth record?

3.3 Mg/m³



Repeat the eighth record exactly.
## CsPt2CF (GGA-PBE)

Data for crystalline CsPt2CF at its relaxed geometry.

The mass density comes out at 6.6 Mg/m³. Its formation energy from raw total energies is 2.685 eV per atom.

It has space group P4/mmm (No. 123), with a = 5.2996 Å, b = 5.2996 Å, c = 4.9862 Å, α = 90.00°, β = 90.00° and γ = 90.00°. The distinct sites, in fractional coordinates, are Cs at (0.0000, 0.0000, 0.0000), Pt at (0.0000, 0.5000, 0.0000), C at (0.0000, 0.0000, 0.5000) and F at (0.5000, 0.5000, 0.5000).